! Dy2AgPd9 (PBE-GGA, optimized geometry); values from VASP
! SG = P4/mmm
! E = -5.475 eV/atom
! E_form = -0.58 eV per atom
&SYSTEM
  ibrav = 0, nat = 12, ntyp = 3
/
ATOMIC_SPECIES
Dy 162.50 Dy.upf
Ag 107.87 Ag.upf
Pd 106.42 Pd.upf
ATOMIC_POSITIONS crystal
Dy 0.0000 0.0000 0.3288
Dy 0.0000 0.0000 0.6712
Ag 0.0000 0.0000 0.0000
Pd 0.5000 0.5000 0.0000
Pd 0.5000 0.5000 0.3311
Pd 0.5000 0.5000 0.6689
Pd 0.5000 0.0000 0.1615
Pd 0.5000 0.0000 0.5000
Pd 0.5000 0.0000 0.8385
Pd 0.0000 0.5000 0.1615
Pd 0.0000 0.5000 0.5000
Pd 0.0000 0.5000 0.8385
CELL_PARAMETERS angstrom
4.0863 0.0000 0.0000
0.0000 4.0863 0.0000
0.0000 0.0000 12.2516